This record from Alexandria via LeMat-Bulk describes a relaxed structure of K2AlF. The functional is PBE.

uncorrected formation energy: -458 meV per atom
calculated volume: 517 Å³/cell
relative energy among the computed polymorphs: 440.1 meV per atom

a b c (Å): 8.024 8.024 8.024
angles (deg): 90.00 90.00 90.00
Space group Fm-3m (No. 225)
Asymmetric unit:
K: 0.250 0.250 0.250 (multiplicity 8)
Al: 0.000 0.000 0.000 (multiplicity 4)
F: 0.000 0.000 0.500 (multiplicity 4)